Entry 1:
Computed, not measured: an optimized crystal structure of Rb2DyZrS4 at the PBE level of DFT.

* total energy: -44.6 eV/f.u.
* spin magnetization: 0.00 μB per atom
* calculated density: 4.44 g/cm3

abc: 6.843 3.917 8.031
angles: 90.00 106.23 90.00
Space group P2/m (No. 10)
Unique sites:
Rb 0.000 0.000 0.000
Rb 0.500 0.500 0.000
Dy 0.000 0.500 0.500
Zr 0.500 0.000 0.500
S 0.243 0.000 0.693
S 0.280 0.500 0.310

Entry 2:
Computed, not measured: an optimized crystal structure of La2YAg at the PBE level of DFT.

* energy above the lowest structure with this stoichiometry: 3.2 kJ per mole of atoms
* total energy: -19.5 eV/f.u.
* DFT formation energy: -2.14 kcal/mol of atoms
* spin magnetization: 0.00 μB per atom
* calculated density: 6.20 g/cm3

abc: 3.820 3.820 8.717
angles: 90.00 90.00 90.00
Space group P4/mmm (No. 123)
Unique sites:
La 0.000 0.000 0.217
Y 0.500 0.500 0.500
Ag 0.500 0.500 0.000

Q: Look up the calculated density of the second one.
A: 6.20 g/cm3

Copy entry 2 word for word.
Computed, not measured: an optimized crystal structure of La2YAg at the PBE level of DFT.

* energy above the lowest structure with this stoichiometry: 3.2 kJ per mole of atoms
* total energy: -19.5 eV/f.u.
* DFT formation energy: -2.14 kcal/mol of atoms
* spin magnetization: 0.00 μB per atom
* calculated density: 6.20 g/cm3

abc: 3.820 3.820 8.717
angles: 90.00 90.00 90.00
Space group P4/mmm (No. 123)
Unique sites:
La 0.000 0.000 0.217
Y 0.500 0.500 0.500
Ag 0.500 0.500 0.000